No. 1
DFT (GGA-PBE) results for a relaxed LaOs2Br crystal.

```
data_LaOs2Br
_chemical_formula_sum 'La1 Os2 Br1'
_space_group_name_H-M_alt 'P m m m'
_space_group_IT_number 47
_cell_length_a 3.1149
_cell_length_b 4.8657
_cell_length_c 5.0532
_cell_angle_alpha 90.00
_cell_angle_beta 90.00
_cell_angle_gamma 90.00
loop_
_space_group_symop_operation_xyz
'x,y,z'
'-x,-y,-z'
'-x,-y,z'
'x,y,-z'
'x,-y,-z'
'-x,y,z'
'-x,y,-z'
'x,-y,z'
loop_
_atom_site_label
_atom_site_fract_x
_atom_site_fract_y
_atom_site_fract_z
_atom_site_occupancy
La1 0.0000 0.0000 0.0000 1
Os1 0.0000 0.5000 0.5000 1
Os2 0.5000 0.0000 0.5000 1
Br1 0.5000 0.5000 0.0000 1
```

Formation energy from raw total energies, meV/atom: 582
Energy relative to the lowest polymorph listed for this composition, meV/atom: 708
DOS(E_F), states/eV/f.u.: 3.9
Raw total energy, eV/atom: -6.683

***

No. 2
DFT (GGA-PBE) results for a relaxed LaOs2Br crystal.

```
data_LaOs2Br
_chemical_formula_sum 'La2 Os4 Br2'
_space_group_name_H-M_alt 'C 1 2/m 1'
_space_group_IT_number 12
_cell_length_a 5.6627
_cell_length_b 10.6240
_cell_length_c 3.1087
_cell_angle_alpha 90.00
_cell_angle_beta 122.73
_cell_angle_gamma 90.00
loop_
_space_group_symop_operation_xyz
'x,y,z'
'-x,-y,-z'
'-x,y,-z'
'x,-y,z'
'x+1/2,y+1/2,z'
'-x+1/2,-y+1/2,-z'
'-x+1/2,y+1/2,-z'
'x+1/2,-y+1/2,z'
loop_
_atom_site_label
_atom_site_fract_x
_atom_site_fract_y
_atom_site_fract_z
_atom_site_occupancy
La1 0.0000 0.0000 0.0000 1
Os1 0.2500 0.2500 0.0000 1
Br1 0.0000 0.5000 0.0000 1
```

Formation energy from raw total energies, meV/atom: 603
Energy relative to the lowest polymorph listed for this composition, meV/atom: 730
DOS(E_F), states/eV/f.u.: 4.7
Raw total energy, eV/atom: -6.662

***

No. 3
DFT (GGA-PBE) results for a relaxed LaOsBr4 crystal.

```
data_LaOsBr4
_chemical_formula_sum 'La4 Os4 Br16'
_space_group_name_H-M_alt 'F -4 3 m'
_space_group_IT_number 216
_space_group_name_Hall 'F -4 2 3'
_cell_length_a 8.7280
_cell_length_b 8.7280
_cell_length_c 8.7280
_cell_angle_alpha 90.00
_cell_angle_beta 90.00
_cell_angle_gamma 90.00
loop_
_atom_site_label
_atom_site_fract_x
_atom_site_fract_y
_atom_site_fract_z
_atom_site_occupancy
La1 0.0000 0.0000 0.0000 1
Os1 0.2500 0.2500 0.7500 1
Br1 0.1247 0.1247 0.3753 1
```

Formation energy from raw total energies, meV/atom: 678
DOS(E_F), states/eV/f.u.: 12.1
Raw total energy, eV/atom: -3.130

***

No. 4
DFT (GGA-PBE) results for a relaxed LaOs2Br crystal.

```
data_LaOs2Br
_chemical_formula_sum 'La4 Os8 Br4'
_space_group_name_H-M_alt 'I -4 2 d'
_space_group_IT_number 122
_space_group_name_Hall 'I -4 2bw'
_cell_length_a 4.8695
_cell_length_b 4.8695
_cell_length_c 16.5955
_cell_angle_alpha 90.00
_cell_angle_beta 90.00
_cell_angle_gamma 90.00
loop_
_atom_site_label
_atom_site_fract_x
_atom_site_fract_y
_atom_site_fract_z
_atom_site_occupancy
La1 0.0000 0.0000 0.0000 1
Os1 0.0724 0.2500 0.6250 1
Br1 0.0000 0.0000 0.5000 1
```

Formation energy from raw total energies, meV/atom: 774
Energy relative to the lowest polymorph listed for this composition, meV/atom: 901
DOS(E_F), states/eV/f.u.: 4.6
Raw total energy, eV/atom: -6.491

***

No. 5
DFT (GGA-PBE) results for a relaxed LaOsBr3 crystal.

```
data_LaOsBr3
_chemical_formula_sum 'La1 Os1 Br3'
_space_group_name_H-M_alt 'P m -3 m'
_space_group_IT_number 221
_space_group_name_Hall '-P 4 2 3'
_cell_length_a 5.0569
_cell_length_b 5.0569
_cell_length_c 5.0569
_cell_angle_alpha 90.00
_cell_angle_beta 90.00
_cell_angle_gamma 90.00
loop_
_atom_site_label
_atom_site_fract_x
_atom_site_fract_y
_atom_site_fract_z
_atom_site_occupancy
La1 0.0000 0.0000 0.0000 1
Os1 0.5000 0.5000 0.5000 1
Br1 0.0000 0.5000 0.5000 1
```

Formation energy from raw total energies, meV/atom: -19
Energy relative to the lowest polymorph listed for this composition, meV/atom: 0
DOS(E_F), states/eV/f.u.: 3.6
Raw total energy, eV/atom: -4.254

***

No. 6
DFT (GGA-PBE) results for a relaxed LaOs2Br crystal.

```
data_LaOs2Br
_chemical_formula_sum 'La2 Os4 Br2'
_space_group_name_H-M_alt 'C m m m'
_space_group_IT_number 65
_space_group_name_Hall '-C 2 2'
_cell_length_a 5.4217
_cell_length_b 9.1386
_cell_length_c 3.3178
_cell_angle_alpha 90.00
_cell_angle_beta 90.00
_cell_angle_gamma 90.00
loop_
_atom_site_label
_atom_site_fract_x
_atom_site_fract_y
_atom_site_fract_z
_atom_site_occupancy
La1 0.0000 0.0000 0.0000 1
Os1 0.2500 0.2500 0.5000 1
Br1 0.0000 0.5000 0.0000 1
```

Formation energy from raw total energies, meV/atom: 947
Energy relative to the lowest polymorph listed for this composition, meV/atom: 1074
DOS(E_F), states/eV/f.u.: 3.4
Raw total energy, eV/atom: -6.318

***

No. 7
DFT (GGA-PBE) results for a relaxed LaOs2Br crystal.

```
data_LaOs2Br
_chemical_formula_sum 'La1 Os2 Br1'
_space_group_name_H-M_alt 'P m m m'
_space_group_IT_number 47
_cell_length_a 3.2442
_cell_length_b 4.8428
_cell_length_c 5.9677
_cell_angle_alpha 90.00
_cell_angle_beta 90.00
_cell_angle_gamma 90.00
loop_
_space_group_symop_operation_xyz
'x,y,z'
'-x,-y,-z'
'-x,-y,z'
'x,y,-z'
'x,-y,-z'
'-x,y,z'
'-x,y,-z'
'x,-y,z'
loop_
_atom_site_label
_atom_site_fract_x
_atom_site_fract_y
_atom_site_fract_z
_atom_site_occupancy
La1 0.0000 0.0000 0.0000 1
Os1 0.5000 0.5000 0.1884 1
Br1 0.0000 0.0000 0.5000 1
```

Formation energy from raw total energies, meV/atom: 695
Energy relative to the lowest polymorph listed for this composition, meV/atom: 822
DOS(E_F), states/eV/f.u.: 1.5
Raw total energy, eV/atom: -6.570

***

No. 8
DFT (GGA-PBE) results for a relaxed La7OsBr12 crystal.

```
data_La7OsBr12
_chemical_formula_sum 'La21 Os3 Br36'
_space_group_name_H-M_alt 'R -3'
_space_group_IT_number 148
_space_group_name_Hall '-R 3'
_cell_length_a 15.5775
_cell_length_b 15.5775
_cell_length_c 11.1233
_cell_angle_alpha 90.00
_cell_angle_beta 90.00
_cell_angle_gamma 120.00
loop_
_atom_site_label
_atom_site_fract_x
_atom_site_fract_y
_atom_site_fract_z
_atom_site_occupancy
La1 0.0000 0.0000 0.0000 1
La2 0.0383 0.1657 0.3557 1
Os1 0.0000 0.0000 0.5000 1
Br1 0.0231 0.5846 0.1535 1
Br2 0.0406 0.1664 0.8344 1
```

Formation energy from raw total energies, meV/atom: -1692
DOS(E_F), states/eV/f.u.: 14.5
Raw total energy, eV/atom: -4.982

***

No. 9
DFT (GGA-PBE) results for a relaxed LaOs2Br crystal.

```
data_LaOs2Br
_chemical_formula_sum 'La2 Os4 Br2'
_space_group_name_H-M_alt 'C 1 m 1'
_space_group_IT_number 8
_cell_length_a 7.0824
_cell_length_b 4.0677
_cell_length_c 7.6649
_cell_angle_alpha 90.00
_cell_angle_beta 98.27
_cell_angle_gamma 90.00
loop_
_space_group_symop_operation_xyz
'x,y,z'
'x,-y,z'
'x+1/2,y+1/2,z'
'x+1/2,-y+1/2,z'
loop_
_atom_site_label
_atom_site_fract_x
_atom_site_fract_y
_atom_site_fract_z
_atom_site_occupancy
La1 0.0000 0.0000 0.0000 1
Os1 0.1279 0.5000 0.7510 1
Os2 0.2839 0.0000 0.6789 1
Br1 0.2104 0.5000 0.2705 1
```

Formation energy from raw total energies, meV/atom: -127
Energy relative to the lowest polymorph listed for this composition, meV/atom: 0
DOS(E_F), states/eV/f.u.: 0.3
Raw total energy, eV/atom: -7.392

***

No. 10
DFT (GGA-PBE) results for a relaxed LaOs2Br crystal.

```
data_LaOs2Br
_chemical_formula_sum 'La4 Os8 Br4'
_space_group_name_H-M_alt 'F -4 3 m'
_space_group_IT_number 216
_space_group_name_Hall 'F -4 2 3'
_cell_length_a 6.8284
_cell_length_b 6.8284
_cell_length_c 6.8284
_cell_angle_alpha 90.00
_cell_angle_beta 90.00
_cell_angle_gamma 90.00
loop_
_atom_site_label
_atom_site_fract_x
_atom_site_fract_y
_atom_site_fract_z
_atom_site_occupancy
La1 0.0000 0.0000 0.0000 1
Os1 0.0000 0.0000 0.5000 1
Os2 0.2500 0.2500 0.2500 1
Br1 0.2500 0.2500 0.7500 1
```

Formation energy from raw total energies, meV/atom: 878
Energy relative to the lowest polymorph listed for this composition, meV/atom: 1005
DOS(E_F), states/eV/f.u.: 8.8
Raw total energy, eV/atom: -6.387

***

No. 11
DFT (GGA-PBE) results for a relaxed LaOs2Br2 crystal.

```
data_LaOs2Br2
_chemical_formula_sum 'La2 Os4 Br4'
_space_group_name_H-M_alt 'P 4/m b m'
_space_group_IT_number 127
_space_group_name_Hall '-P 4 2ab'
_cell_length_a 7.1902
_cell_length_b 7.1902
_cell_length_c 4.7842
_cell_angle_alpha 90.00
_cell_angle_beta 90.00
_cell_angle_gamma 90.00
loop_
_atom_site_label
_atom_site_fract_x
_atom_site_fract_y
_atom_site_fract_z
_atom_site_occupancy
La1 0.0000 0.0000 0.0000 1
Os1 0.1190 0.3810 0.0000 1
Br1 0.1950 0.3050 0.5000 1
```

Formation energy from raw total energies, meV/atom: 464
Energy relative to the lowest polymorph listed for this composition, meV/atom: 176
DOS(E_F), states/eV/f.u.: 7.6
Raw total energy, eV/atom: -5.683

***

No. 12
DFT (GGA-PBE) results for a relaxed La8P3OsBr4 crystal.

```
data_La8P3OsBr4
_chemical_formula_sum 'La24 P9 Os3 Br12'
_space_group_name_H-M_alt 'R -3 m'
_space_group_IT_number 166
_space_group_name_Hall '-R 3 2"'
_cell_length_a 8.5409
_cell_length_b 8.5409
_cell_length_c 22.2170
_cell_angle_alpha 90.00
_cell_angle_beta 90.00
_cell_angle_gamma 120.00
loop_
_atom_site_label
_atom_site_fract_x
_atom_site_fract_y
_atom_site_fract_z
_atom_site_occupancy
La1 0.0000 0.0000 0.2366 1
La2 0.0082 0.5041 0.2354 1
P1 0.0000 0.5000 0.5000 1
Os1 0.0000 0.0000 0.5000 1
Br1 0.0000 0.0000 0.0000 1
Br2 0.0000 0.5000 0.0000 1
```

Formation energy from raw total energies, meV/atom: -1393
DOS(E_F), states/eV/f.u.: 11.2
Raw total energy, eV/atom: -5.992